Entry 1:
Entry from Alexandria via LeMat-Bulk: a geometry-optimized Hf2ThPt9 structure (PBE-GGA).

Lattice parameters (Å, degrees): 4.1043 4.1043 12.2713 90.00 90.00 90.00
Space group P4/mmm (No. 123)
One atom of each set of equivalent atoms:
Hf (0.0000, 0.0000, 0.1620) (multiplicity 2)
Th (0.0000, 0.0000, 0.5000) (multiplicity 1)
Pt (0.0000, 0.5000, 0.0000) (multiplicity 2)
Pt (0.0000, 0.5000, 0.3215) (multiplicity 4)
Pt (0.5000, 0.5000, 0.1606) (multiplicity 2)
Pt (0.5000, 0.5000, 0.5000) (multiplicity 1)

---

Entry 2:
Entry from Alexandria via LeMat-Bulk: a geometry-optimized HfTiPt2 structure (PBE-GGA).

Lattice parameters (Å, degrees): 4.1052 4.1052 3.9682 90.00 90.00 90.00
Space group P4/mmm (No. 123)
One atom of each set of equivalent atoms:
Hf (0.0000, 0.0000, 0.0000) (multiplicity 1)
Ti (0.5000, 0.5000, 0.0000) (multiplicity 1)
Pt (0.0000, 0.5000, 0.5000) (multiplicity 2)

---

Entry 3:
Entry from Alexandria via LeMat-Bulk: a geometry-optimized HfTiPt2 structure (PBE-GGA).

Lattice parameters (Å, degrees): 4.4537 4.4537 16.3844 90.00 90.00 90.00
Space group I-42d (No. 122)
One atom of each set of equivalent atoms:
Hf (0.0000, 0.0000, 0.0000) (multiplicity 4)
Ti (0.0000, 0.0000, 0.5000) (multiplicity 4)
Pt (0.2240, 0.2500, 0.6250) (multiplicity 8)

---

Entry 4:
Entry from Alexandria via LeMat-Bulk: a geometry-optimized HfTi3Pt structure (PBE-GGA).

Energy above the most stable polymorph in this dataset in eV/f.u.: 6.90

Lattice parameters (Å, degrees): 4.7168 4.7168 4.7168 90.00 90.00 90.00
Space group Pm-3m (No. 221)
One atom of each set of equivalent atoms:
Hf (0.0000, 0.0000, 0.0000) (multiplicity 1)
Ti (0.0000, 0.0000, 0.5000) (multiplicity 3)
Pt (0.5000, 0.5000, 0.5000) (multiplicity 1)

---

no.,energy relative to the elements (eV per atom)
1,-1.085
2,-0.921
3,-0.306
4,1.175